# 1
An optimized crystal structure of BaTaTl2, computed with GGA-PBE.

Results
**DFT formation energy**: 49 kJ per mole of atoms

Cell lengths 3.352, 4.867, 7.568 Å; angles 90.00, 90.00, 90.00 degrees
Space group Pmm2 (No. 25)
Unique sites:
Ba1 0.000 0.000 0.000 (multiplicity 1)
Ta1 0.000 0.500 0.587 (multiplicity 1)
Tl1 0.500 0.000 0.593 (multiplicity 1)
Tl2 0.500 0.500 0.268 (multiplicity 1)

# 2
An optimized crystal structure of BaNp2SeO4, computed with GGA-PBE.

Results
**Total DFT energy (no corrections)**: -71.46 eV for the cell shown

Cell lengths 3.904, 3.904, 9.520 Å; angles 90.00, 90.00, 90.00 degrees
Space group P4/mmm (No. 123)
Unique sites:
Ba1 0.000 0.000 0.000 (multiplicity 1)
Np1 0.500 0.500 0.299 (multiplicity 2)
Se1 0.000 0.000 0.500 (multiplicity 1)
O1 0.000 0.500 0.198 (multiplicity 4)

# 3
An optimized crystal structure of ZrHgI4, computed with GGA-PBE.

Results
**Total DFT energy (no corrections)**: -77.79 eV for the cell shown

Cell lengths 11.322, 16.433, 7.173 Å; angles 90.00, 111.95, 90.00 degrees
Space group C2/c (No. 15)
Unique sites:
Zr1 0.000 0.083 0.250 (multiplicity 4)
Hg1 0.000 0.456 0.750 (multiplicity 4)
I1 0.154 0.057 0.671 (multiplicity 8)
I2 0.171 0.191 0.206 (multiplicity 8)

# 4
An optimized crystal structure of SnAsSe2F, computed with GGA-PBE.

Results
**E above lowest polymorph**: 0 meV/atom

Cell lengths 5.268, 5.268, 4.012 Å; angles 90.00, 90.00, 90.00 degrees
Space group P4/mmm (No. 123)
Unique sites:
Sn1 0.000 0.000 0.000 (multiplicity 1)
As1 0.500 0.500 0.000 (multiplicity 1)
Se1 0.000 0.500 0.500 (multiplicity 2)
F1 0.500 0.500 0.500 (multiplicity 1)

# 5
An optimized crystal structure of Pa2TiAu6, computed with GGA-PBE.

Results
**DFT formation energy**: -36 kJ per mole of atoms

Cell lengths 8.2955, 8.2955, 3.0046 Å; angles 90.00, 90.00, 120.00 degrees
Space group P6/mmm (No. 191)
Unique sites:
Pa1 0.3333 0.6667 0.0000 (multiplicity 2)
Ti1 0.0000 0.0000 0.0000 (multiplicity 1)
Au1 0.0000 0.3291 0.5000 (multiplicity 6)

# 6
An optimized crystal structure of YTmRu, computed with GGA-PBE.

Results
**E above lowest polymorph**: 95 meV/atom
**DFT formation energy**: -26 kJ per mole of atoms

Cell lengths 6.713, 6.743, 8.256 Å; angles 90.00, 126.95, 90.00 degrees
Space group P2_1/c (No. 14)
Unique sites:
Y1 0.221 0.166 0.421 (multiplicity 4)
Tm1 0.282 0.664 0.580 (multiplicity 4)
Ru1 0.261 0.508 0.258 (multiplicity 4)

# 7
An optimized crystal structure of TiAlPt3, computed with GGA-PBE.

Results
**E above lowest polymorph**: 116 meV/atom
**DFT formation energy**: -80 kJ per mole of atoms

Cell lengths 4.305, 5.456, 7.013 Å; angles 90.00, 90.00, 90.00 degrees
Space group Pmmn (No. 59, origin choice 2)
Unique sites:
Ti1 0.250 0.250 0.138 (multiplicity 2)
Al1 0.250 0.750 0.437 (multiplicity 2)
Pt1 0.250 0.003 0.733 (multiplicity 4)
Pt2 0.250 0.750 0.083 (multiplicity 2)

# 8
An optimized crystal structure of RbO2, computed with GGA-PBE.

Results
**E above lowest polymorph**: 1349 meV/atom

Cell lengths 4.130, 4.130, 5.941 Å; angles 90.00, 90.00, 90.00 degrees
Space group P4/mmm (No. 123)
Unique sites:
Rb1 0.000 0.000 0.000 (multiplicity 1)
O1 0.000 0.000 0.500 (multiplicity 1)
O2 0.500 0.500 0.000 (multiplicity 1)